# Sm2Zn4Cu5, relaxed, DFT PBE
data_Sm2Zn4Cu5
_chemical_formula_sum 'Sm4 Zn8 Cu10'
_cell_length_a 12.019
_cell_length_b 5.085
_cell_length_c 8.117
_cell_angle_alpha 90.00
_cell_angle_beta 127.62
_cell_angle_gamma 90.00
_symmetry_space_group_name_H-M 'C 1 2/m 1'
_symmetry_Int_Tables_number 12
loop_
_symmetry_equiv_pos_as_xyz
'x,y,z'
'-x,-y,-z'
'-x,y,-z'
'x,-y,z'
'x+1/2,y+1/2,z'
'-x+1/2,-y+1/2,-z'
'-x+1/2,y+1/2,-z'
'x+1/2,-y+1/2,z'
loop_
_atom_site_label
_atom_site_type_symbol
_atom_site_fract_x
_atom_site_fract_y
_atom_site_fract_z
Sm1 Sm 0.203 0.000 0.261
Zn1 Zn 0.126 0.000 0.564
Zn2 Zn 0.234 0.500 0.055
Cu1 Cu 0.000 0.500 0.000
Cu2 Cu 0.032 0.255 0.756
# - E_tot: -3.28 eV/atom
# - ΔE_f: -0.10 eV per atom
# - Density of states at the Fermi level: 11.71 states/eV per cell